Here is SrCrClO4 after structural relaxation from the Alexandria database. Energies are from PBE+U.

The structure in CIF format:
```
data_SrCrClO4
_cell_length_a 12.675
_cell_length_b 6.247
_cell_length_c 6.620
_cell_angle_alpha 90.00
_cell_angle_beta 110.47
_cell_angle_gamma 90.00
_symmetry_space_group_name_H-M 'C 1 2/m 1'
_symmetry_Int_Tables_number 12
loop_
_symmetry_equiv_pos_as_xyz
'x,y,z'
'-x,-y,-z'
'-x,y,-z'
'x,-y,z'
'x+1/2,y+1/2,z'
'-x+1/2,-y+1/2,-z'
'-x+1/2,y+1/2,-z'
'x+1/2,-y+1/2,z'
loop_
_atom_site_label
_atom_site_fract_x
_atom_site_fract_y
_atom_site_fract_z
_atom_site_occupancy
Sr1 0.173 0.000 0.264 1
Cr1 0.159 0.000 0.750 1
Cl1 0.026 0.500 0.161 1
O1 0.044 0.000 0.819 1
O2 0.167 0.213 0.602 1
O3 0.235 0.500 0.021 1
```

Results
Calculated density (Mg/m³): 3.2
E_tot (eV per atom): -6.0623